VASP calculation (GGA-PBE) on a geometry-optimized SrCrW2Se structure.

Output
crystal system: tetragonal
N(E_F): 10.45 states/eV per cell
formation energy from raw total energies: 3.55 eV per atom

Unit cell a=4.894 b=4.894 c=5.231 alpha=90.00 beta=90.00 gamma=90.00
Space group P4/mmm (No. 123)
Unique sites:
Sr  0.000  0.000  0.000 (multiplicity 1)
Cr  0.500  0.500  0.500 (multiplicity 1)
W  0.000  0.500  0.000 (multiplicity 2)
Se  0.000  0.000  0.500 (multiplicity 1)



VASP calculation (GGA-PBE) on a geometry-optimized Rb3Sm2HoTe6 structure.

Output
crystal system: monoclinic
formation energy from raw total energies: -1.39 eV per atom

Unit cell a=7.920 b=13.719 c=8.960 alpha=90.00 beta=107.14 gamma=90.00
Space group C2/m (No. 12)
Unique sites:
Rb  0.000  0.000  0.000 (multiplicity 2)
Rb  0.000  0.332  0.000 (multiplicity 4)
Sm  0.000  0.166  0.500 (multiplicity 4)
Ho  0.000  0.500  0.500 (multiplicity 2)
Te  0.231  0.336  0.701 (multiplicity 8)
Te  0.240  0.000  0.702 (multiplicity 4)